Record 1
# Be2AsAu | Alexandria | PBE | relaxed
# Magnetic moment   0.0 μB/cell
# Formation energy   0.273 eV per atom
data_Be2AsAu
_chemical_formula_sum 'Be2 As1 Au1'
_cell_length_a 3.305
_cell_length_b 3.780
_cell_length_c 4.433
_cell_angle_alpha 90.00
_cell_angle_beta 90.00
_cell_angle_gamma 90.00
_space_group_name_H-M_alt 'P m m m'
_space_group_IT_number 47
loop_
_space_group_symop_operation_xyz
'x,y,z'
'-x,-y,-z'
'-x,-y,z'
'x,y,-z'
'x,-y,-z'
'-x,y,z'
'-x,y,-z'
'x,-y,z'
loop_
_atom_site_label
_atom_site_type_symbol
_atom_site_fract_x
_atom_site_fract_y
_atom_site_fract_z
Be1 Be 0.000 0.000 0.000
Be2 Be 0.000 0.500 0.500
As1 As 0.500 0.000 0.500
Au1 Au 0.500 0.500 0.000


Record 2
# PmPr2DyH | Alexandria | PBE | relaxed
# Magnetic moment   0.0 μB/cell
# E   -4.62 eV/atom
data_PmPr2DyH
_chemical_formula_sum 'Pm1 Pr2 Dy1 H1'
_cell_length_a 5.176
_cell_length_b 5.176
_cell_length_c 5.088
_cell_angle_alpha 90.00
_cell_angle_beta 90.00
_cell_angle_gamma 90.00
_space_group_name_H-M_alt 'P 4/m m m'
_space_group_IT_number 123
_space_group_name_Hall '-P 4 2'
loop_
_atom_site_label
_atom_site_type_symbol
_atom_site_fract_x
_atom_site_fract_y
_atom_site_fract_z
Pm1 Pm 0.000 0.000 0.000
Pr1 Pr 0.000 0.500 0.500
Dy1 Dy 0.500 0.500 0.000
H1 H 0.500 0.500 0.500